Entry from the Alexandria database: an optimized crystal structure of TcSe2N (PBE).

Results
Space-group type: R-3m
Formation energy without anion corrections: 747.5 meV per atom

Cell: 6.6046 6.6046 6.6046 Å, 32.63 32.63 32.63°
Last column: nearest neighbours and their distance in Å.
Sites, in units of the cell vectors:
Tc  0.5000  0.5000  0.5000  6 Se 2.54
Se  0.9061  0.9061  0.9061  1 N 1.76
Se  0.0939  0.0939  0.0939  1 N 1.76
N  0.0000  0.0000  0.0000  2 Se 1.76